Below is crystalline Y12Sb3H5 at its relaxed geometry, with properties calculated at the PBE-GGA level.

a = 13.525 Å, b = 13.525 Å, c = 13.525 Å
α = 109.47°, β = 109.47°, γ = 109.47°
Fractional coordinates of all 80 atoms:
Y (0.206, 0.513, 0.610)
Y (0.390, 0.987, 0.794)
Y (0.306, 0.513, 0.403)
Y (0.904, 0.097, 0.610)
Y (0.404, 0.110, 0.597)
Y (0.890, 0.294, 0.487)
Y (0.806, 0.904, 0.294)
Y (0.794, 0.487, 0.390)
Y (0.097, 0.904, 0.110)
Y (0.806, 0.903, 0.013)
Y (0.206, 0.694, 0.096)
Y (0.096, 0.903, 0.390)
Y (0.013, 0.403, 0.806)
Y (0.694, 0.487, 0.597)
Y (0.403, 0.013, 0.306)
Y (0.194, 0.096, 0.706)
Y (0.610, 0.013, 0.206)
Y (0.294, 0.404, 0.806)
Y (0.596, 0.890, 0.403)
Y (0.194, 0.097, 0.987)
Y (0.403, 0.390, 0.596)
Y (0.487, 0.694, 0.097)
Y (0.294, 0.890, 0.987)
Y (0.987, 0.390, 0.294)
Y (0.597, 0.610, 0.404)
Y (0.890, 0.596, 0.903)
Y (0.096, 0.194, 0.206)
Y (0.513, 0.306, 0.903)
Y (0.903, 0.806, 0.513)
Y (0.694, 0.206, 0.596)
Y (0.110, 0.706, 0.513)
Y (0.706, 0.596, 0.194)
Y (0.487, 0.794, 0.890)
Y (0.597, 0.987, 0.694)
Y (0.513, 0.206, 0.110)
Y (0.097, 0.194, 0.487)
Y (0.904, 0.806, 0.794)
Y (0.306, 0.794, 0.404)
Y (0.013, 0.610, 0.706)
Y (0.404, 0.294, 0.306)
Y (0.110, 0.404, 0.097)
Y (0.903, 0.096, 0.890)
Y (0.987, 0.597, 0.194)
Y (0.706, 0.110, 0.013)
Y (0.390, 0.403, 0.096)
Y (0.794, 0.306, 0.904)
Y (0.596, 0.706, 0.694)
Y (0.610, 0.597, 0.904)
Sb (0.250, 0.625, 0.875)
Sb (0.375, 0.750, 0.625)
Sb (0.125, 0.875, 0.750)
Sb (0.625, 0.250, 0.375)
Sb (0.750, 0.375, 0.125)
Sb (0.875, 0.750, 0.125)
Sb (0.250, 0.125, 0.375)
Sb (0.625, 0.375, 0.750)
Sb (0.125, 0.250, 0.875)
Sb (0.875, 0.125, 0.250)
Sb (0.750, 0.875, 0.625)
Sb (0.375, 0.625, 0.250)
H (0.375, 0.125, 0.750)
H (0.875, 0.250, 0.625)
H (0.250, 0.875, 0.125)
H (0.500, 0.500, 0.000)
H (0.500, 0.000, 0.500)
H (0.625, 0.875, 0.250)
H (0.125, 0.750, 0.375)
H (0.500, 0.000, 0.000)
H (0.000, 0.000, 0.500)
H (0.375, 0.250, 0.125)
H (0.500, 0.500, 0.500)
H (0.250, 0.375, 0.625)
H (0.625, 0.750, 0.875)
H (0.000, 0.000, 0.000)
H (0.000, 0.500, 0.000)
H (0.000, 0.500, 0.500)
H (0.125, 0.375, 0.250)
H (0.875, 0.625, 0.750)
H (0.750, 0.625, 0.375)
H (0.750, 0.125, 0.875)

As for the density of states at the Fermi level: 15.83 states/eV/f.u. Its total energy is -463.115 eV per cell.

Below is crystalline NiTe5 at its relaxed geometry, with properties calculated at the PBE-GGA level.

a = 7.044 Å, b = 7.044 Å, c = 3.866 Å
α = 90.00°, β = 90.00°, γ = 120.00°
Fractional coordinates of all 6 atoms:
Ni (0.000, 0.000, 0.500)
Te (0.333, 0.667, 0.500)
Te (0.261, 0.261, 0.000)
Te (0.739, 0.000, 0.000)
Te (0.667, 0.333, 0.500)
Te (0.000, 0.739, 0.000)

As for the energy above the most stable polymorph in this dataset: 0.181 eV per atom. As for the uncorrected formation energy: 0.15 eV/atom. As for the density of states at the Fermi level: 5.07 states/eV/f.u. Its total energy is -20.574 eV per cell.

Below is crystalline Y2AgBr at its relaxed geometry, with properties calculated at the PBE-GGA level.

a = 10.461 Å, b = 10.461 Å, c = 10.461 Å
α = 20.45°, β = 20.45°, γ = 20.45°
Each line ends with the local moment (μB).
Fractional coordinates of all 4 atoms:
Ag (0.490, 0.490, 0.490)  0.02
Y (0.753, 0.753, 0.753)  0.24
Y (0.994, 0.994, 0.994)  0.29
Br (0.262, 0.262, 0.262)  0.00

As for the energy above the most stable polymorph in this dataset: 0.095 eV per atom. As for the uncorrected formation energy: -0.51 eV/atom. As for the density of states at the Fermi level: 2.69 states/eV/f.u. Its total energy is -19.479 eV per cell.

Below is crystalline Na2CuTe3 at its relaxed geometry, with properties calculated at the PBE-GGA level.

a = 4.033 Å, b = 7.111 Å, c = 24.759 Å
α = 90.00°, β = 90.00°, γ = 90.00°
Fractional coordinates of all 24 atoms:
Na (0.250, 0.218, 0.691)
Na (0.250, 0.174, 0.941)
Na (0.750, 0.826, 0.059)
Na (0.750, 0.782, 0.309)
Na (0.750, 0.326, 0.441)
Na (0.250, 0.674, 0.559)
Na (0.750, 0.282, 0.191)
Na (0.250, 0.718, 0.809)
Te (0.250, 0.607, 0.138)
Te (0.750, 0.586, 0.707)
Te (0.750, 0.266, 0.048)
Te (0.750, 0.766, 0.452)
Te (0.750, 0.086, 0.793)
Te (0.250, 0.914, 0.207)
Te (0.750, 0.393, 0.862)
Te (0.250, 0.414, 0.293)
Te (0.250, 0.107, 0.362)
Te (0.250, 0.234, 0.548)
Te (0.750, 0.893, 0.638)
Te (0.250, 0.734, 0.952)
Cu (0.750, 0.013, 0.532)
Cu (0.250, 0.487, 0.032)
Cu (0.250, 0.987, 0.468)
Cu (0.750, 0.513, 0.968)

As for the uncorrected formation energy: -0.46 eV/atom. As for the density of states at the Fermi level: 2.10 states/eV/f.u. Its total energy is -75.595 eV per cell.

Below is crystalline Rb3Fe2Cl9 at its relaxed geometry, with properties calculated at the PBE-GGA level.

a = 7.127 Å, b = 7.127 Å, c = 8.860 Å
α = 90.00°, β = 90.00°, γ = 120.00°
Each line ends with the local moment (μB).
Fractional coordinates of all 14 atoms:
Fe (0.667, 0.333, 0.186)  3.85
Fe (0.333, 0.667, 0.814)  3.85
Cl (0.500, 0.500, 0.000)  0.11
Cl (0.500, 0.000, 0.000)  0.11
Cl (0.174, 0.349, 0.683)  0.20
Cl (0.826, 0.651, 0.317)  0.20
Cl (0.174, 0.826, 0.683)  0.20
Cl (0.000, 0.500, 0.000)  0.11
Cl (0.349, 0.174, 0.317)  0.20
Cl (0.651, 0.826, 0.683)  0.20
Cl (0.826, 0.174, 0.317)  0.20
Rb (0.667, 0.333, 0.672)  0.00
Rb (0.333, 0.667, 0.328)  0.00
Rb (0.000, 0.000, 0.000)  0.00

As for the uncorrected formation energy: -1.28 eV/atom. As for the density of states at the Fermi level: 0.41 states/eV/f.u. Its total energy is -54.353 eV per cell.

Below is crystalline NiTe2CN at its relaxed geometry, with properties calculated at the PBE-GGA level.

a = 5.163 Å, b = 5.163 Å, c = 3.378 Å
α = 90.00°, β = 90.00°, γ = 90.00°
Fractional coordinates of all 5 atoms:
Ni (0.000, 0.000, 0.000)
Te (0.000, 0.500, 0.000)
Te (0.500, 0.000, 0.000)
C (0.500, 0.500, 0.500)
N (0.000, 0.000, 0.500)

As for the energy above the most stable polymorph in this dataset: 0.475 eV per atom. As for the uncorrected formation energy: 1.57 eV/atom. As for the density of states at the Fermi level: 4.23 states/eV/f.u. Its total energy is -21.743 eV per cell.